Entry 1:
A plane-wave DFT calculation with PBE was carried out for crystalline Be2AlC at its relaxed geometry.

Results
DOS(E_F) (states/eV/cell): 1.88
DFT total energy (eV/f.u.): -20.0

abc: 4.638 3.027 5.710
angles: 90.00 94.66 90.00
Positions (direct):
Be: 0.000 0.000 0.000
Be: 0.074 0.500 0.260
Be: 0.538 0.000 0.002
Be: 0.770 0.500 0.731
Al: 0.217 0.000 0.617
Al: 0.569 0.500 0.344
C: 0.284 0.000 0.251
C: 0.775 0.500 0.042

Entry 2:
A plane-wave DFT calculation with PBE was carried out for crystalline Be3AlC at its relaxed geometry.

Results
DOS(E_F) (states/eV/cell): 0.44
DFT total energy (eV/f.u.): -23.2

abc: 3.813 3.813 4.421
angles: 106.58 106.58 47.04
Positions (direct):
Be: 0.000 0.000 0.000
Be: 0.269 0.269 0.802
Be: 0.548 0.548 0.658
Al: 0.756 0.756 0.295
C: 0.071 0.071 0.430

Entry 3:
A plane-wave DFT calculation with PBE was carried out for crystalline Be3AlC at its relaxed geometry.

Results
DOS(E_F) (states/eV/cell): 0.99
DFT total energy (eV/f.u.): -23.4

abc: 5.215 5.215 5.215
angles: 142.66 142.66 53.84
Positions (direct):
Be: 0.000 0.000 0.000
Be: 0.355 0.855 0.500
Be: 0.855 0.355 0.500
Al: 0.588 0.588 0.000
C: 0.801 0.801 0.000

Entry 4:
A plane-wave DFT calculation with PBE was carried out for crystalline Be2AlC at its relaxed geometry.

Results
DOS(E_F) (states/eV/cell): 3.94
DFT total energy (eV/f.u.): -18.3

abc: 5.348 5.348 5.348
angles: 119.75 119.75 90.44
Positions (direct):
Be: 0.375 0.117 0.242
Be: 0.867 0.625 0.742
Be: 0.875 0.133 0.758
Be: 0.883 0.125 0.258
Al: 0.250 0.750 0.500
Al: 0.500 0.500 0.000
C: 0.000 0.000 0.000
C: 0.750 0.250 0.500

Entry 5:
A plane-wave DFT calculation with PBE was carried out for crystalline Be2AlC at its relaxed geometry.

Results
DOS(E_F) (states/eV/cell): 1.08
DFT total energy (eV/f.u.): -20.3

abc: 4.911 2.992 5.380
angles: 90.00 92.47 90.00
Positions (direct):
Be: 0.036 0.250 0.363
Be: 0.391 0.250 0.588
Be: 0.609 0.750 0.412
Be: 0.964 0.750 0.637
Al: 0.249 0.750 0.040
Al: 0.751 0.250 0.960
C: 0.248 0.750 0.429
C: 0.752 0.250 0.571

Entry 6:
A plane-wave DFT calculation with PBE was carried out for crystalline Ca2BeAlC at its relaxed geometry.

Results
DOS(E_F) (states/eV/cell): 3.03
DFT total energy (eV/f.u.): -19.4

abc: 5.112 5.112 3.866
angles: 90.00 90.00 90.00
Positions (direct):
Ca: 0.000 0.500 0.000
Ca: 0.500 0.000 0.000
Be: 0.000 0.000 0.500
Al: 0.500 0.500 0.500
C: 0.500 0.500 0.000

Which of these has the highest DOS(E_F)?
number 4